# GGA-PBE TaIn2Au, relaxed
# theoretical density = 12.38 g cm⁻³
# energy above the most stable polymorph in this dataset = 0.000 eV/f.u.
# DOS(E_F) = 4.1 states/eV per cell
# electronic total energy = -40.65 eV for the cell shown
# crystal system = monoclinic
# calculated formation energy = 0.070 eV per atom
data_TaIn2Au
_space_group_name_H-M_alt 'C 1 m 1'
_space_group_IT_number 8
_cell_length_a 11.1037
_cell_length_b 3.0339
_cell_length_c 5.2453
_cell_angle_alpha 90.00
_cell_angle_beta 112.69
_cell_angle_gamma 90.00
loop_
_space_group_symop_operation_xyz
'x,y,z'
'x,-y,z'
'x+1/2,y+1/2,z'
'x+1/2,-y+1/2,z'
loop_
_atom_site_label
_atom_site_fract_x
_atom_site_fract_y
_atom_site_fract_z
Ta1 0.0000 0.0000 0.0000
In1 0.2517 0.0000 0.9083
In2 0.4760 0.0000 0.5000
Au1 0.2171 0.5000 0.3934